(1)
Entry from Alexandria via LeMat-Bulk: an optimized crystal structure of SrMn2Re (PBE).

POSCAR file:
```
SrMn2Re
1.0
-1.602 2.693 4.741
1.602 -2.693 4.741
1.602 2.693 -4.741
Sr Mn Re
1 2 1
Cartesian
0.000 0.000 0.000
1.602 0.000 2.834
0.000 2.693 1.907
0.000 0.000 4.741
```

Summary:
**Crystal system**: orthorhombic
**Energy above the lowest structure with this stoichiometry**: 35.1 kJ/mol of atoms
**SG**: No. 71
**Energy of formation from the pure elements**: 0.918 eV per atom

(2)
Entry from Alexandria via LeMat-Bulk: an optimized crystal structure of HfAs2HSe (PBE).

POSCAR file:
```
HfAs2HSe
1.0
5.181 0.000 0.000
0.000 5.181 0.000
0.000 0.000 5.160
Hf As H Se
1 2 1 1
Cartesian
0.000 0.000 0.000
0.000 2.591 0.000
2.591 0.000 0.000
2.591 2.591 2.580
0.000 0.000 2.580
```

Summary:
**Crystal system**: tetragonal
**Energy above the lowest structure with this stoichiometry**: 39.3 kJ/mol of atoms
**SG**: No. 123

(3)
Entry from Alexandria via LeMat-Bulk: an optimized crystal structure of Ba2InHg2 (PBE).

POSCAR file:
```
Ba2InHg2
1.0
9.639 0.000 0.000
0.000 9.639 0.000
0.000 0.000 4.137
Ba In Hg
4 2 4
Cartesian
1.530 3.289 0.000
3.289 8.108 0.000
6.350 1.530 0.000
8.108 6.350 0.000
0.000 0.000 0.000
4.819 4.819 0.000
1.308 6.128 2.069
3.511 1.308 2.069
6.128 8.331 2.069
8.331 3.511 2.069
```

Summary:
**Crystal system**: tetragonal
**Energy above the lowest structure with this stoichiometry**: 17.3 kJ/mol of atoms
**SG**: No. 127
**Energy of formation from the pure elements**: -0.283 eV per atom

(4)
Entry from Alexandria via LeMat-Bulk: an optimized crystal structure of Li2ZrBS (PBE).

POSCAR file:
```
Li2ZrBS
1.0
4.053 0.000 0.000
0.000 4.053 0.000
0.000 0.000 4.624
Li Zr B S
2 1 1 1
Cartesian
0.000 2.026 0.000
2.026 0.000 0.000
0.000 0.000 2.312
2.026 2.026 2.312
2.026 2.026 0.000
```

Summary:
**Crystal system**: tetragonal
**SG**: No. 123
**Formation energy without anion corrections**: 0.434 eV per atom

(5)
Entry from Alexandria via LeMat-Bulk: an optimized crystal structure of NaLiSe2Br (PBE).

POSCAR file:
```
NaLiSe2Br
1.0
5.328 0.000 0.000
0.000 5.328 0.000
0.000 0.000 5.612
Na Li Se Br
1 1 2 1
Cartesian
0.000 0.000 0.000
2.664 2.664 2.806
0.000 2.664 0.000
2.664 0.000 0.000
0.000 0.000 2.806
```

Summary:
**Crystal system**: tetragonal
**Energy above the lowest structure with this stoichiometry**: 38.8 kJ/mol of atoms
**SG**: No. 123
**Formation energy without anion corrections**: -0.044 eV per atom

(6)
Entry from Alexandria via LeMat-Bulk: an optimized crystal structure of KAcAs (PBE).

POSCAR file:
```
KAcAs
1.0
-2.084 2.084 7.646
2.084 -2.084 7.646
2.084 2.084 -7.646
K Ac As
1 1 1
Cartesian
0.000 0.000 0.000
0.000 0.000 3.693
0.000 0.000 10.339
```

Summary:
**Crystal system**: tetragonal
**Energy above the lowest structure with this stoichiometry**: 1.2 kJ/mol of atoms
**SG**: No. 107
**Energy of formation from the pure elements**: -0.598 eV per atom